Computed, not measured: Nd8H3C3N after structural relaxation at the PBE level of DFT.

Energy ... -6.0404 eV per atom
DOS at the Fermi energy ... 8.6 states/eV/cell

```
Nd8H3C3N
1.0
6.4236 -3.7090 0.0000
6.4236 3.7090 0.0000
-4.2883 0.0000 6.2085
Nd H C N
8 3 3 1
Direct
0.2413 0.2413 0.7241
0.2414 0.7418 0.7242
0.2556 0.2556 0.2674
0.2582 0.7586 0.2758
0.7418 0.2414 0.7242
0.7444 0.7444 0.7326
0.7586 0.2582 0.2758
0.7587 0.7587 0.2759
0.0000 0.0000 0.0000
0.0000 0.5000 0.0000
0.5000 0.0000 0.0000
0.0000 0.5000 0.5000
0.5000 0.0000 0.5000
0.5000 0.5000 0.5000
0.0000 0.0000 0.5000
```

=====

Computed, not measured: CaSb after structural relaxation at the PBE level of DFT.

E_form (uncorrected) ... -821 meV/atom
Energy ... -3.8829 eV per atom
DOS at the Fermi energy ... 2.3 states/eV/cell

```
CaSb
1.0
0.0000 5.2649 6.4985
3.6741 0.0000 6.4985
3.6741 5.2649 0.0000
Ca Sb
4 4
Direct
0.1026 0.6474 0.1026
0.3526 0.8974 0.3526
0.6474 0.1026 0.6474
0.8974 0.3526 0.8974
0.1733 0.5767 0.5767
0.4233 0.8267 0.8267
0.5767 0.1733 0.1733
0.8267 0.4233 0.4233
```

=====

Computed, not measured: LaH3Pt after structural relaxation at the PBE level of DFT.

Energy ... -4.6573 eV per atom
DOS at the Fermi energy ... 2.7 states/eV/cell

```
LaH3Pt
1.0
4.7978 -1.9116 0.0000
4.7978 1.9116 0.0000
-2.6549 0.0000 7.3677
La H Pt
2 6 2
Direct
0.1480 0.1480 0.2550
0.8520 0.8520 0.7450
0.0362 0.0362 0.5417
0.1254 0.1254 0.9095
0.3089 0.3089 0.5633
0.6911 0.6911 0.4367
0.8746 0.8746 0.0905
0.9638 0.9638 0.4583
0.3769 0.3769 0.0767
0.6231 0.6231 0.9233
```

=====

Computed, not measured: Tb5Nd6Th after structural relaxation at the PBE level of DFT.

Formation enthalpy at 0 K ... 0.03 eV/atom
Energy ... -4.9020 eV per atom
DOS at the Fermi energy ... 17.5 states/eV/cell

```
Tb5Nd6Th
1.0
5.7262 -7.6849 0.0000
5.7262 7.6849 0.0000
-2.2906 0.0000 4.5893
Tb Nd Th
5 6 1
Direct
0.0000 0.0000 0.0000
0.1675 0.8325 0.5000
0.3360 0.6640 0.0000
0.6640 0.3360 0.0000
0.8325 0.1675 0.5000
0.0860 0.4153 0.2508
0.2525 0.2525 0.7525
0.4153 0.0860 0.2508
0.5847 0.9140 0.7492
0.7475 0.7475 0.2475
0.9140 0.5847 0.7492
0.5000 0.5000 0.5000
```

=====

Computed, not measured: CoPtS2I after structural relaxation at the PBE level of DFT.

E_form (uncorrected) ... 525 meV/atom
Energy ... -4.0654 eV per atom
DOS at the Fermi energy ... 5.7 states/eV/cell

```
CoPtS2I
1.0
4.1912 0.0000 0.0000
0.0000 4.1912 0.0000
0.0000 0.0000 5.6935
Co Pt S I
1 1 2 1
Direct
0.0000 0.0000 0.0000
0.0000 0.0000 0.5000
0.0000 0.5000 0.0000
0.5000 0.0000 0.0000
0.5000 0.5000 0.5000
```

=====

Computed, not measured: CaCr2Ru after structural relaxation at the PBE level of DFT.

Formation enthalpy at 0 K ... 0.86 eV/atom
Energy ... -6.7710 eV per atom
DOS at the Fermi energy ... 22.0 states/eV/cell

```
CaCr2Ru
1.0
2.7592 0.0000 0.0000
-1.3796 2.3895 0.0000
0.0000 0.0000 27.9846
Ca Cr Ru
3 6 3
Direct
0.0000 0.0000 0.0000
0.3333 0.6667 0.6667
0.6667 0.3333 0.3333
0.0000 0.0000 0.2400
0.0000 0.0000 0.7600
0.3333 0.6667 0.4266
0.3333 0.6667 0.9067
0.6667 0.3333 0.0933
0.6667 0.3333 0.5734
0.0000 0.0000 0.5000
0.3333 0.6667 0.1667
0.6667 0.3333 0.8333
```

=====

Computed, not measured: UPtPb2S5 after structural relaxation at the PBE level of DFT.

E_form (uncorrected) ... -719 meV/atom
Energy ... -5.7617 eV per atom
DOS at the Fermi energy ... 8.7 states/eV/cell

```
UPtPb2S5
1.0
1.9821 -9.0732 0.0000
1.9821 9.0732 0.0000
0.0000 0.0000 12.2862
U Pt Pb S
2 2 4 10
Direct
0.2050 0.7950 0.5000
0.7950 0.2050 0.0000
0.4090 0.5910 0.8764
0.5910 0.4090 0.3764
0.0938 0.9062 0.1781
0.1177 0.8823 0.8226
0.8823 0.1177 0.3226
0.9062 0.0938 0.6781
0.0646 0.9354 0.4844
0.2806 0.7194 0.8600
0.2967 0.7033 0.1421
0.3508 0.6492 0.4958
0.4904 0.5096 0.2475
0.5096 0.4904 0.7475
0.6492 0.3508 0.9958
0.7033 0.2967 0.6421
0.7194 0.2806 0.3600
0.9354 0.0646 0.9844
```

=====

Computed, not measured: CdTcNi2 after structural relaxation at the PBE level of DFT.

Formation enthalpy at 0 K ... 0.19 eV/atom
Energy ... -5.5259 eV per atom
DOS at the Fermi energy ... 3.5 states/eV/cell

```
CdTcNi2
1.0
2.7257 0.0000 0.0000
0.0000 2.7257 0.0000
0.0000 0.0000 7.5084
Cd Tc Ni
1 1 2
Direct
0.0000 0.0000 0.0000
0.5000 0.5000 0.6939
0.0000 0.0000 0.4729
0.5000 0.5000 0.2646
```